1.
PBE-GGA NaLiLa2Tl, relaxed; total energy = -2.776 eV/atom
1.0
5.6845 0.0000 0.0000
0.0000 5.6845 0.0000
0.0000 0.0000 4.9208
Na Li La Tl
1 1 2 1
Cartesian
0.0000 0.0000 0.0000
0.0000 0.0000 2.4604
0.0000 2.8423 2.4604
2.8423 0.0000 2.4604
2.8423 2.8423 0.0000

---

2.
PBE-GGA Np6PaS8, relaxed; formation energy (no corrections) = -134.7 kJ/mol of atoms
1.0
0.0000 5.5211 5.5211
5.5211 0.0000 5.5211
5.5211 5.5211 0.0000
Np Pa S
6 1 8
Cartesian
2.7605 2.7605 0.0000
2.7605 0.0000 2.7605
5.5211 2.7605 2.7605
0.0000 2.7605 2.7605
2.7605 5.5211 2.7605
2.7605 2.7605 5.5211
0.0000 0.0000 0.0000
2.7605 2.7605 2.7605
5.5211 5.5211 2.7821
5.5211 2.7821 5.5211
8.2600 5.5211 5.5211
2.7821 5.5211 5.5211
5.5211 8.2600 5.5211
5.5211 5.5211 8.2600
8.2816 8.2816 8.2816

---

3.
PBE-GGA MnV2SnN, relaxed; formation energy (no corrections) = -39.1 kJ/mol of atoms
1.0
4.0136 0.0000 0.0000
0.0000 4.0136 0.0000
0.0000 0.0000 4.0227
Mn V Sn N
1 2 1 1
Cartesian
0.0000 0.0000 0.0000
0.0000 2.0068 2.0113
2.0068 0.0000 2.0113
2.0068 2.0068 0.0000
0.0000 0.0000 2.0113

---

4.
PBE-GGA YEr2Ru, relaxed; distance to the lowest polymorph of the same formula = 421.6 meV/atom
1.0
3.4803 0.0000 0.0000
-1.7402 3.0140 0.0000
0.0000 0.0000 31.7960
Y Er Ru
3 6 3
Cartesian
0.0000 0.0000 0.0000
0.0000 2.0094 21.1974
1.7402 1.0047 10.5987
0.0000 0.0000 3.4114
0.0000 0.0000 28.3846
0.0000 2.0094 17.7859
0.0000 2.0094 24.6088
1.7402 1.0047 7.1872
1.7402 1.0047 14.0101
0.0000 0.0000 15.8980
0.0000 2.0094 5.2993
1.7402 1.0047 26.4967

---

5.
PBE-GGA K6ReP4, relaxed; total energy = -4.062 eV/atom
1.0
10.1553 0.0000 0.0000
-5.0777 8.7947 0.0000
0.0000 0.0000 7.9099
K Re P
12 2 8
Cartesian
-2.0512 4.6789 0.0000
0.0000 2.4746 2.5220
-2.9345 7.5574 2.5220
2.1431 1.2373 6.4770
2.0512 4.6789 0.0000
0.0000 8.2316 0.0000
5.0777 0.5631 3.9549
3.0265 4.1158 3.9549
2.9345 7.5574 2.5220
8.0122 1.2373 6.4770
5.0777 6.3201 6.4770
7.1288 4.1158 3.9549
0.0000 5.8632 4.7997
5.0777 2.9316 0.8447
0.0000 3.7052 5.5433
-1.8688 6.9421 5.5433
0.0000 5.8632 2.5120
3.2088 1.8526 1.5884
1.8688 6.9421 5.5433
5.0777 2.9316 6.4669
6.9465 1.8526 1.5884
5.0776 5.0895 1.5884

---

6.
PBE-GGA Co2AuI, relaxed; formation energy (no corrections) = 76.5 kJ/mol of atoms
1.0
5.6832 0.0000 0.0000
0.0000 5.6832 0.0000
0.0000 0.0000 11.9760
Co Au I
8 4 4
Cartesian
1.3715 1.4208 1.4970
1.4208 4.2131 4.4910
1.4208 4.3117 10.4790
1.4701 1.4208 7.4850
4.2131 4.2624 7.4850
4.2624 1.3715 10.4790
4.2624 1.4701 4.4910
4.3117 4.2624 1.4970
0.0000 0.0000 0.0000
0.0000 2.8416 2.9940
2.8416 0.0000 8.9820
2.8416 2.8416 5.9880
0.0000 0.0000 5.9880
0.0000 2.8416 8.9820
2.8416 0.0000 2.9940
2.8416 2.8416 0.0000

---

7.
PBE-GGA FeP2Br, relaxed; formation energy (no corrections) = 7.8 kJ/mol of atoms; distance to the lowest polymorph of the same formula = 173.9 meV/atom
1.0
2.6935 0.0000 0.0000
0.0000 3.1656 0.0000
0.0000 0.0000 8.7669
Fe P Br
1 2 1
Cartesian
0.0000 0.0000 0.0000
1.3468 1.5828 1.2154
1.3468 1.5828 7.5515
0.0000 0.0000 4.3834

---

8.
PBE-GGA CsLaMnCl6, relaxed; formation energy (no corrections) = -182.3 kJ/mol of atoms
1.0
7.0379 0.0000 0.0000
3.5107 6.1224 0.0000
0.0342 -0.0078 7.6887
Cs La Mn Cl
1 1 1 6
Cartesian
0.0000 0.0000 0.0000
7.0501 4.0818 3.8444
3.5314 2.0316 3.8440
1.4756 2.2224 5.3480
2.3300 3.7229 2.3196
4.7257 3.7185 5.3637
2.6730 0.1464 2.3273
4.3936 0.1421 5.3689
5.5846 2.2268 2.3371

---

| no. | density of states at the Fermi level (states/eV per cell) |
| --- | --- |
| 1 | 8.20 |
| 2 | 49.99 |
| 3 | 4.78 |
| 4 | 19.85 |
| 5 | 8.55 |
| 6 | 19.15 |
| 7 | 2.38 |
| 8 | 0.00 |